[1]
# Cu2PdAu

An optimized crystal structure of Cu2PdAu (PBE, OQMD).

The structure in extended XYZ format:
```
4
Lattice="2.840 -3.464 0.000 2.840 3.464 0.000 0.000 0.000 2.913" Properties=species:S:1:pos:R:3 pbc="T T T"
Cu 1.420 1.732 0.000
Cu 1.420 -1.732 0.000
Pd 0.000 0.000 1.456
Au 2.840 0.000 1.456
```

## Properties
E_form: -0.116 eV/atom
Offset from the most stable computed form: 20 meV per atom
Theoretical density: 12.471 g cm⁻³

***

[2]
# CuPd2Au2

An optimized crystal structure of CuPd2Au2 (PBE, OQMD).

The structure in extended XYZ format:
```
5
Lattice="-1.848 1.848 6.536 1.848 -1.848 6.536 1.848 1.848 -6.536" Properties=species:S:1:pos:R:3 pbc="T T T"
Cu 0.000 0.000 0.000
Pd 1.848 0.000 3.268
Pd 0.000 1.848 3.268
Au 0.000 0.000 5.258
Au 0.000 0.000 7.815
```

## Properties
E_form: 0.304 eV/atom
Theoretical density: 12.463 g cm⁻³

***

[3]
# Cu2PdAu

An optimized crystal structure of Cu2PdAu (PBE, OQMD).

The structure in extended XYZ format:
```
8
Lattice="4.436 0.000 0.000 0.000 5.729 0.000 0.000 0.000 4.494" Properties=species:S:1:pos:R:3 pbc="T T T"
Cu 1.109 0.000 0.905
Cu 1.109 2.865 0.905
Cu 3.327 5.729 3.590
Cu 3.327 2.865 3.590
Pd 1.109 1.432 3.181
Pd 3.327 4.297 1.313
Au 1.109 4.297 3.174
Au 3.327 1.432 1.320
```

## Properties
E_form: -0.124 eV/atom
Offset from the most stable computed form: 12 meV per atom
Theoretical density: 12.518 g cm⁻³

***

[4]
# CuSiPdAu

An optimized crystal structure of CuSiPdAu (PBE, OQMD).

The structure in extended XYZ format:
```
4
Lattice="0.000 3.107 3.107 3.107 0.000 3.107 3.107 3.107 0.000" Properties=species:S:1:pos:R:3 pbc="T T T"
Cu 0.000 0.000 0.000
Si 4.660 4.660 4.660
Pd 3.107 3.107 3.107
Au 1.553 1.553 1.553
```

## Properties
Offset from the most stable computed form: 0 meV per atom
Theoretical density: 10.940 g cm⁻³